No. 1
Mg3BO: relaxed, PBE-GGA.

abc: 4.0703 4.0703 4.0703
angles: 90.00 90.00 90.00
With the nearest neighbours (Å) after each atom.
Sites, in units of the cell vectors:
Mg1 0.0000 0.0000 0.5000  2 O 2.04
Mg2 0.0000 0.5000 0.0000  2 O 2.04
Mg3 0.5000 0.0000 0.0000  2 O 2.04
B1 0.5000 0.5000 0.5000  12 Mg 2.88
O1 0.0000 0.0000 0.0000  6 Mg 2.04

Properties
* energy relative to the elements, uncorrected: -0.553 eV per atom

***

No. 2
Li3Zn2Ge2: relaxed, PBE-GGA.

abc: 4.3829 4.3829 6.9365
angles: 101.11 101.11 56.79
With the nearest neighbours (Å) after each atom.
Sites, in units of the cell vectors:
Li1 0.0000 0.0000 0.0000  6 Zn 2.63-2.77, 2 Li 2.88
Li2 0.1361 0.1361 0.4216  3 Li 2.57-2.79, 3 Ge 2.64-2.74, 1 Zn 2.87
Li3 0.8639 0.8639 0.5784  3 Li 2.57-2.79, 3 Ge 2.64-2.74, 1 Zn 2.87
Zn1 0.2787 0.2787 0.8402  3 Ge 2.59-2.60, 4 Li 2.63-2.87
Zn2 0.7213 0.7213 0.1598  3 Ge 2.59-2.60, 4 Li 2.63-2.87
Ge1 0.4197 0.4197 0.2665  3 Zn 2.59-2.60, 3 Li 2.64-2.74
Ge2 0.5803 0.5803 0.7335  3 Zn 2.59-2.60, 3 Li 2.64-2.74

Properties
* formation energy from the elements: -0.236 eV/atom

***

No. 3
BeCuRh2: relaxed, PBE-GGA.

abc: 4.5922 4.5922 4.5922
angles: 133.55 133.55 67.78
With the nearest neighbours (Å) after each atom.
Sites, in units of the cell vectors:
Be1 0.0000 0.0000 0.0000  8 Rh 2.56-2.63, 4 Cu 2.63
Cu1 0.2500 0.7500 0.5000  8 Rh 2.56-2.63, 4 Be 2.63
Rh1 0.5000 0.5000 0.0000  4 Be 2.56, 4 Rh 2.63, 4 Cu 2.63
Rh2 0.7500 0.2500 0.5000  4 Cu 2.56, 4 Rh 2.63, 4 Be 2.63

Properties
* formation energy from the elements: -0.066 eV/atom

***

No. 4
Ba2NaMgH: relaxed, PBE-GGA.

abc: 5.8433 5.8433 4.9426
angles: 90.00 90.00 90.00
With the nearest neighbours (Å) after each atom.
Sites, in units of the cell vectors:
Ba1 0.0000 0.5000 0.0000  2 H 2.92
Ba2 0.5000 0.0000 0.0000  2 H 2.92
Na1 0.0000 0.0000 0.5000  2 H 2.47
Mg1 0.5000 0.5000 0.5000  8 Ba 3.83, 4 Na 4.13
H1 0.0000 0.0000 0.0000  2 Na 2.47

***

No. 5
TaRe3Sn: relaxed, PBE-GGA.

abc: 4.8243 4.8243 4.8243
angles: 90.00 90.00 90.00
With the nearest neighbours (Å) after each atom.
Sites, in units of the cell vectors:
Ta1 0.0000 0.0000 0.0000  6 Re 2.41
Re1 0.0000 0.0000 0.5000  2 Ta 2.41
Re2 0.0000 0.5000 0.0000  2 Ta 2.41
Re3 0.5000 0.0000 0.0000  2 Ta 2.41
Sn1 0.5000 0.5000 0.5000  12 Re 3.41

Properties
* formation energy from the elements: 2.162 eV/atom

***

No. 6
Zr2ZnIr: relaxed, PBE-GGA.

abc: 6.0717 6.0717 6.0717
angles: 102.59 102.59 124.33
With the nearest neighbours (Å) after each atom.
Sites, in units of the cell vectors:
Zr1 0.0882 0.6250 0.9632  2 Ir 2.59, 2 Zr 2.89
Zr2 0.3750 0.3382 0.4632  2 Ir 2.59, 2 Zr 2.89
Zr3 0.6618 0.1250 0.0368  2 Ir 2.59, 2 Zr 2.89
Zr4 0.8750 0.9118 0.5368  2 Ir 2.59, 2 Zr 2.89
Zn1 0.2500 0.7500 0.5000  2 Ir 2.84, 4 Zr 2.97
Zn2 0.5000 0.5000 0.0000  2 Ir 2.84, 4 Zr 2.97
Ir1 0.0000 0.0000 0.0000  4 Zr 2.59, 2 Zn 2.84
Ir2 0.7500 0.2500 0.5000  4 Zr 2.59, 2 Zn 2.84

Properties
* formation energy from the elements: -0.081 eV/atom

***

No. 7
Ho8ErTl6: relaxed, PBE-GGA.

abc: 8.3321 8.3321 8.3321
angles: 65.77 65.77 65.77
With the nearest neighbours (Å) after each atom.
Sites, in units of the cell vectors:
Ho1 0.0573 0.3912 0.7243  5 Tl 3.11-3.38
Ho2 0.1666 0.1666 0.1666  6 Tl 3.27
Ho3 0.2757 0.9427 0.6088  5 Tl 3.11-3.38
Ho4 0.3912 0.7243 0.0573  5 Tl 3.11-3.38
Ho5 0.6088 0.2757 0.9427  5 Tl 3.11-3.38
Ho6 0.7243 0.0573 0.3912  5 Tl 3.11-3.38
Ho7 0.8334 0.8334 0.8334  6 Tl 3.27
Ho8 0.9427 0.6088 0.2757  5 Tl 3.11-3.38
Er1 0.5000 0.5000 0.5000  6 Tl 3.26
Tl1 0.1029 0.7682 0.4354  7 Ho 3.11-3.38, 1 Er 3.26
Tl2 0.2318 0.5646 0.8971  7 Ho 3.11-3.38, 1 Er 3.26
Tl3 0.4354 0.1029 0.7682  7 Ho 3.11-3.38, 1 Er 3.26
Tl4 0.5646 0.8971 0.2318  7 Ho 3.11-3.38, 1 Er 3.26
Tl5 0.7682 0.4354 0.1029  7 Ho 3.11-3.38, 1 Er 3.26
Tl6 0.8971 0.2318 0.5646  7 Ho 3.11-3.38, 1 Er 3.26

Properties
* formation energy from the elements: -0.124 eV/atom

***

Number 1: mass density 2.5 g cm⁻³, calculated total energy -3.837 eV/atom. Number 2: mass density 4.5 g cm⁻³, calculated total energy -2.740 eV/atom. Number 3: mass density 9.2 g cm⁻³, calculated total energy -5.698 eV/atom. Number 4: mass density 3.2 g cm⁻³, calculated total energy -2.158 eV/atom. Number 5: mass density 12.7 g cm⁻³, calculated total energy -8.478 eV/atom. Number 6: mass density 8.9 g cm⁻³, calculated total energy -6.889 eV/atom. Number 7: mass density 9.8 g cm⁻³, calculated total energy -3.817 eV/atom.